(1)
VASP calculation (PBE) on crystalline NaLaWAu2 at its relaxed geometry.

The structure in CIF format:
```
data_NaLaWAu2
_chemical_formula_sum 'Na1 La1 W1 Au2'
_cell_length_a 4.892
_cell_length_b 4.892
_cell_length_c 5.033
_cell_angle_alpha 90.00
_cell_angle_beta 90.00
_cell_angle_gamma 90.00
_space_group_name_H-M_alt 'P 4/m m m'
_space_group_IT_number 123
_space_group_name_Hall '-P 4 2'
loop_
_atom_site_label
_atom_site_type_symbol
_atom_site_fract_x
_atom_site_fract_y
_atom_site_fract_z
_atom_site_occupancy
Na1 Na 0.000 0.000 0.000 1
La1 La 0.500 0.500 0.500 1
W1 W 0.000 0.000 0.500 1
Au1 Au 0.000 0.500 0.000 1
```

Output
- M_tot: 0.466 μB/atom
- DOS at the Fermi energy: 0.719 states/eV/atom
- ΔH_f (0 K): 1022.5 meV per atom

=====

(2)
VASP calculation (PBE) on crystalline NaLaWAu2 at its relaxed geometry.

The structure in CIF format:
```
data_NaLaWAu2
_chemical_formula_sum 'Na1 La1 W1 Au2'
_cell_length_a 5.085
_cell_length_b 5.085
_cell_length_c 5.160
_cell_angle_alpha 90.00
_cell_angle_beta 90.00
_cell_angle_gamma 90.00
_space_group_name_H-M_alt 'P 4/m m m'
_space_group_IT_number 123
_space_group_name_Hall '-P 4 2'
loop_
_atom_site_label
_atom_site_type_symbol
_atom_site_fract_x
_atom_site_fract_y
_atom_site_fract_z
_atom_site_occupancy
Na1 Na 0.000 0.000 0.000 1
La1 La 0.500 0.500 0.000 1
W1 W 0.000 0.000 0.500 1
Au1 Au 0.000 0.500 0.500 1
```

Output
- M_tot: 0.164 μB/atom
- DOS at the Fermi energy: 1.016 states/eV/atom
- ΔH_f (0 K): 687.7 meV per atom

=====

(3)
VASP calculation (PBE) on crystalline NaLaZnAu at its relaxed geometry.

The structure in CIF format:
```
data_NaLaZnAu
_chemical_formula_sum 'Na4 La4 Zn4 Au4'
_cell_length_a 7.298
_cell_length_b 7.298
_cell_length_c 7.298
_cell_angle_alpha 90.00
_cell_angle_beta 90.00
_cell_angle_gamma 90.00
_space_group_name_H-M_alt 'F -4 3 m'
_space_group_IT_number 216
_space_group_name_Hall 'F -4 2 3'
loop_
_atom_site_label
_atom_site_type_symbol
_atom_site_fract_x
_atom_site_fract_y
_atom_site_fract_z
_atom_site_occupancy
Na1 Na 0.000 0.000 0.000 1
La1 La 0.000 0.000 0.500 1
Zn1 Zn 0.250 0.250 0.250 1
Au1 Au 0.250 0.250 0.750 1
```

Output
- M_tot: 0.000 μB/atom
- DOS at the Fermi energy: 0.679 states/eV/atom
- ΔH_f (0 K): -374.5 meV per atom